1.
The following is a PBE calculation of a geometry-optimized Sc4TeP structure, from the Alexandria database.

Computed properties:
* E_tot: -38.7 eV per formula unit
* calculated volume: 23.59 A^3/atom
* E_form (uncorrected): -807 meV/atom

a b c (Å): 7.7526 13.7353 6.2985
angles (deg): 90.00 122.40 90.00
Closest atoms and distances in Å follow each position.
Space group C2/c (No. 15)
Asymmetric unit:
Sc 0.1041 0.2135 0.0831 x8  1 P 2.59
Sc 0.2382 0.0570 0.7252 x8  2 P 2.54-2.58
Te 0.0000 0.3909 0.7500 x4  8 Sc 2.89-3.03
P 0.0000 0.0671 0.2500 x4  6 Sc 2.54-2.59

---

2.
The following is a PBE calculation of a geometry-optimized ScTe2P structure, from the Alexandria database.

Computed properties:
* E_tot: -20.1 eV per formula unit
* calculated volume: 25.95 A^3/atom
* E_form (uncorrected): -524 meV/atom

a b c (Å): 5.0434 4.0264 10.2228
angles (deg): 90.00 90.00 90.00
Closest atoms and distances in Å follow each position.
Space group Amm2 (No. 38)
Asymmetric unit:
Sc 0.0000 0.0000 0.0000 x2  2 P 2.61, 2 Te 2.92
Te 0.0000 0.0000 0.2931 x2  3 Sc 2.92-3.00
Te 0.5000 0.0000 0.6019 x2  2 P 2.64
P 0.5000 0.0000 0.9350 x2  2 Sc 2.61, 2 Te 2.64

---

3.
The following is a PBE calculation of a geometry-optimized ScTe2P structure, from the Alexandria database.

Computed properties:
* E_tot: -18.6 eV per formula unit
* calculated volume: 24.67 A^3/atom
* E_form (uncorrected): -146 meV/atom

a b c (Å): 3.8634 3.8634 22.8983
angles (deg): 90.00 90.00 120.00
Closest atoms and distances in Å follow each position.
Space group R-3m (No. 166, hexagonal axes)
Asymmetric unit:
Sc 0.0000 0.0000 0.0000 x3  6 Te 2.97
Te 0.0000 0.0000 0.2476 x6  3 P 2.90, 3 Sc 2.97
P 0.0000 0.0000 0.5000 x3  6 Te 2.90

---

4.
The following is a PBE calculation of a geometry-optimized ScTe2P structure, from the Alexandria database.

Computed properties:
* E_tot: -18.8 eV per formula unit
* calculated volume: 30.09 A^3/atom
* E_form (uncorrected): -205 meV/atom

a b c (Å): 3.9584 3.9584 26.6084
angles (deg): 90.00 90.00 120.00
Closest atoms and distances in Å follow each position.
Space group R-3m (No. 166, hexagonal axes)
Asymmetric unit:
Sc 0.0000 0.0000 0.0000 x3  6 Te 2.90
Te 0.0000 0.0000 0.4003 x6  1 P 2.65, 3 Sc 2.90
P 0.0000 0.0000 0.5000 x3  2 Te 2.65

---

5.
The following is a PBE calculation of a geometry-optimized ScTeP2 structure, from the Alexandria database.

Computed properties:
* E_tot: -22.0 eV per formula unit
* calculated volume: 21.29 A^3/atom
* E_form (uncorrected): -433 meV/atom

a b c (Å): 3.8909 3.8909 5.6261
angles (deg): 90.00 90.00 90.00
Closest atoms and distances in Å follow each position.
Space group P4/mmm (No. 123)
Asymmetric unit:
Sc 0.0000 0.0000 0.0000 x1  6 P 2.75-2.81
Te 0.5000 0.5000 0.5000 x1  6 P 2.75-2.81
P 0.0000 0.0000 0.5000 x1  4 Te 2.75, 2 Sc 2.81
P 0.5000 0.5000 0.0000 x1  4 Sc 2.75, 2 Te 2.81

---

6.
The following is a PBE calculation of a geometry-optimized ScTeP structure, from the Alexandria database.

Computed properties:
* E_tot: -17.2 eV per formula unit
* calculated volume: 23.48 A^3/atom
* E_form (uncorrected): -789 meV/atom

a b c (Å): 3.6976 3.7278 10.3651
angles (deg): 89.30 80.57 88.62
Closest atoms and distances in Å follow each position.
Space group P-1 (No. 2)
Asymmetric unit:
Sc 0.0875 0.3581 0.1633 x2  5 P 2.62-2.85
Te 0.4901 0.6563 0.3615 x2  1 P 2.85, 2 Sc 2.96-2.97, 1 Te 3.10
P 0.3962 0.1270 0.9068 x2  1 P 2.37, 1 Sc 2.62

---

7.
The following is a PBE calculation of a geometry-optimized ScTeP structure, from the Alexandria database.

Computed properties:
* E_tot: -17.3 eV per formula unit
* calculated volume: 25.74 A^3/atom
* E_form (uncorrected): -796 meV/atom

a b c (Å): 4.1289 4.1496 9.8562
angles (deg): 94.28 91.19 113.28
Closest atoms and distances in Å follow each position.
Space group P1 (No. 1)
Asymmetric unit:
Sc 0.0000 0.0000 0.0000 x1  4 P 2.61-2.82
Sc 0.3337 0.4084 0.3535 x1  4 P 2.61-2.87
Te 0.6596 0.3105 0.8151 x1  1 P 2.79, 2 Sc 2.94-3.07, 1 Te 2.97
Te 0.7104 0.0915 0.5255 x1  1 Te 2.97, 3 Sc 2.98-3.01, 1 P 3.23
P 0.6448 0.3715 0.0987 x1  1 P 2.16
P 0.9543 0.7538 0.2611 x1  1 P 2.16

---

8.
The following is a PBE calculation of a geometry-optimized ScTeP2 structure, from the Alexandria database.

Computed properties:
* E_tot: -20.9 eV per formula unit
* calculated volume: 19.32 A^3/atom
* E_form (uncorrected): -148 meV/atom

a b c (Å): 4.7113 4.7113 3.4825
angles (deg): 90.00 90.00 90.00
Closest atoms and distances in Å follow each position.
Space group P4/mmm (No. 123)
Asymmetric unit:
Sc 0.0000 0.0000 0.0000 x1  8 P 2.93
Te 0.5000 0.5000 0.0000 x1  8 P 2.93
P 0.0000 0.5000 0.5000 x2  4 Te 2.93, 4 Sc 2.93

---

9.
The following is a PBE calculation of a geometry-optimized ScTeP2 structure, from the Alexandria database.

Computed properties:
* E_tot: -22.3 eV per formula unit
* calculated volume: 20.05 A^3/atom
* E_form (uncorrected): -513 meV/atom

a b c (Å): 3.8794 4.0739 10.1505
angles (deg): 90.00 90.00 90.00
Closest atoms and distances in Å follow each position.
Space group Amm2 (No. 38)
Asymmetric unit:
Sc 0.0000 0.0000 0.0000 x2  6 P 2.84-2.92, 3 Te 2.93-2.96
Te 0.0000 0.0000 0.7117 x2  4 P 2.81, 3 Sc 2.93-2.96
P 0.5000 0.0000 0.2047 x2  1 P 2.23
P 0.5000 0.0000 0.4241 x2  1 P 2.23

---

10.
The following is a PBE calculation of a geometry-optimized Sc3Te2P structure, from the Alexandria database.

Computed properties:
* E_tot: -38.5 eV per formula unit
* calculated volume: 23.17 A^3/atom
* E_form (uncorrected): -1309 meV/atom

a b c (Å): 6.9315 11.9951 7.0788
angles (deg): 90.00 109.12 90.00
Closest atoms and distances in Å follow each position.
Space group C2/m (No. 12)
Asymmetric unit:
Sc 0.2058 0.0000 0.2088 x4  2 P 2.63, 2 Te 2.87-2.88
Sc 0.2455 0.1818 0.7852 x8  2 P 2.63, 2 Te 2.90
Te 0.0000 0.0000 0.5000 x2  6 Sc 2.87-3.08
Te 0.0000 0.3422 0.5000 x4  6 Sc 2.90-3.10
Te 0.0000 0.5000 0.0000 x2  6 Sc 2.88-2.90
P 0.0000 0.1681 0.0000 x4  6 Sc 2.63

---

11.
The following is a PBE calculation of a geometry-optimized Sc5Te2P2 structure, from the Alexandria database.

Computed properties:
* E_tot: -59.5 eV per formula unit
* calculated volume: 20.87 A^3/atom
* E_form (uncorrected): -1189 meV/atom

a b c (Å): 14.1111 7.2947 7.2989
angles (deg): 90.00 90.00 90.00
Closest atoms and distances in Å follow each position.
Space group Cmce (No. 64)
Asymmetric unit:
Sc 0.0000 0.0000 0.0000 x4  4 P 2.77-2.82, 2 Te 2.88
Sc 0.1181 0.1536 0.3436 x16  3 P 2.64-2.77
Te 0.2042 0.0000 0.0000 x8  7 Sc 2.88-3.03
P 0.0000 0.1485 0.6440 x8  8 Sc 2.64-2.82

---

12.
The following is a PBE calculation of a geometry-optimized ScTeP structure, from the Alexandria database.

Computed properties:
* E_tot: -16.1 eV per formula unit
* calculated volume: 24.14 A^3/atom
* E_form (uncorrected): -410 meV/atom

a b c (Å): 3.8534 3.8534 5.6311
angles (deg): 90.00 90.00 120.00
Closest atoms and distances in Å follow each position.
Space group P3m1 (No. 156)
Asymmetric unit:
Sc 0.0000 0.0000 0.0000 x1  3 P 2.59
Te 0.6667 0.3333 0.3525 x1  3 Sc 2.98, 3 P 3.22
P 0.3333 0.6667 0.7655 x1  3 Sc 2.59